# 1
# PBE TbSm3As3, optimized geometry
data_TbSm3As3
_chemical_formula_sum 'Tb4 Sm12 As12'
_cell_length_a 8.879
_cell_length_b 8.879
_cell_length_c 8.879
_cell_angle_alpha 90.00
_cell_angle_beta 90.00
_cell_angle_gamma 90.00
_symmetry_space_group_name_H-M 'P 21 3'
_symmetry_Int_Tables_number 198
_symmetry_space_group_name_Hall 'P 2ac 2ab 3'
loop_
_atom_site_label
_atom_site_fract_x
_atom_site_fract_y
_atom_site_fract_z
Tb1 0.066 0.434 0.566
Sm1 0.066 0.566 0.934
Sm2 0.183 0.183 0.183
Sm3 0.183 0.817 0.317
As1 0.001 0.747 0.626
# Total energy = -166.5 eV per cell
# Formation energy from the elements = -1271 meV/atom

***

# 2
# PBE TbSmAs, optimized geometry
data_TbSmAs
_chemical_formula_sum 'Tb2 Sm2 As2'
_cell_length_a 3.691
_cell_length_b 3.691
_cell_length_c 12.032
_cell_angle_alpha 90.00
_cell_angle_beta 90.00
_cell_angle_gamma 90.00
_symmetry_space_group_name_H-M 'I 4 m m'
_symmetry_Int_Tables_number 107
_symmetry_space_group_name_Hall 'I 4 -2'
loop_
_atom_site_label
_atom_site_fract_x
_atom_site_fract_y
_atom_site_fract_z
Tb1 0.000 0.000 0.000
Sm1 0.000 0.000 0.726
As1 0.000 0.000 0.368
# Total energy = -32.3 eV per cell
# Formation energy from the elements = -723 meV/atom

***

# 3
# PBE Tb4SmAs5, optimized geometry
data_Tb4SmAs5
_chemical_formula_sum 'Tb8 Sm2 As10'
_cell_length_a 4.156
_cell_length_b 5.872
_cell_length_c 20.765
_cell_angle_alpha 90.00
_cell_angle_beta 90.00
_cell_angle_gamma 90.00
_symmetry_space_group_name_H-M 'I m m m'
_symmetry_Int_Tables_number 71
_symmetry_space_group_name_Hall '-I 2 2'
loop_
_atom_site_label
_atom_site_fract_x
_atom_site_fract_y
_atom_site_fract_z
Tb1 0.000 0.000 0.100
Tb2 0.000 0.000 0.299
Sm1 0.000 0.000 0.500
As1 0.000 0.500 0.102
As2 0.000 0.500 0.300
As3 0.000 0.500 0.500
# Total energy = -123.7 eV per cell
# Formation energy from the elements = -1538 meV/atom